(1)
The following is a GGA-PBE calculation of a relaxed structure of Ac8In3Pb4, from Alexandria.

Cell and atoms, written as CIF:
```
data_Ac8In3Pb4
_chemical_formula_sum 'Ac16 In6 Pb8'
_cell_length_a 13.727
_cell_length_b 13.690
_cell_length_c 8.203
_cell_angle_alpha 90.00
_cell_angle_beta 126.51
_cell_angle_gamma 90.00
_space_group_name_H-M_alt 'C 1 2/m 1'
_space_group_IT_number 12
_space_group_name_Hall '-C 2y'
loop_
_atom_site_label
_atom_site_type_symbol
_atom_site_fract_x
_atom_site_fract_y
_atom_site_fract_z
Ac1 Ac 0.000 0.245 0.000
Ac2 Ac 0.000 0.249 0.500
Ac3 Ac 0.247 0.000 0.998
Ac4 Ac 0.249 0.500 0.493
In1 In 0.000 0.500 0.500
In2 In 0.250 0.250 0.000
Pb1 Pb 0.000 0.000 0.500
Pb2 Pb 0.000 0.500 0.000
Pb3 Pb 0.250 0.250 0.500
```

Summary:
E_tot = -3.9994 eV/atom
theoretical density = 8.01 g cm⁻³
energy relative to the elements = -0.272 eV/atom

(2)
The following is a GGA-PBE calculation of a relaxed structure of AcInPb6, from Alexandria.

Cell and atoms, written as CIF:
```
data_AcInPb6
_chemical_formula_sum 'Ac1 In1 Pb6'
_cell_length_a 7.090
_cell_length_b 7.090
_cell_length_c 5.013
_cell_angle_alpha 90.00
_cell_angle_beta 90.00
_cell_angle_gamma 90.00
_space_group_name_H-M_alt 'P 4/m m m'
_space_group_IT_number 123
_space_group_name_Hall '-P 4 2'
loop_
_atom_site_label
_atom_site_type_symbol
_atom_site_fract_x
_atom_site_fract_y
_atom_site_fract_z
Ac1 Ac 0.000 0.000 0.000
In1 In 0.500 0.500 0.000
Pb1 Pb 0.000 0.500 0.000
Pb2 Pb 0.263 0.263 0.500
```

Summary:
E_tot = -3.7901 eV/atom
theoretical density = 10.45 g cm⁻³
energy relative to the elements = -0.153 eV/atom

(3)
The following is a GGA-PBE calculation of a relaxed structure of AcInPb, from Alexandria.

Cell and atoms, written as CIF:
```
data_AcInPb
_chemical_formula_sum 'Ac1 In1 Pb1'
_cell_length_a 4.9070
_cell_length_b 4.9070
_cell_length_c 4.8899
_cell_angle_alpha 90.00
_cell_angle_beta 90.00
_cell_angle_gamma 120.00
_space_group_name_H-M_alt 'P 3 m 1'
_space_group_IT_number 156
_space_group_name_Hall 'P 3 -2"'
loop_
_atom_site_label
_atom_site_type_symbol
_atom_site_fract_x
_atom_site_fract_y
_atom_site_fract_z
Ac1 Ac 0.0000 0.0000 0.0000
In1 In 0.3333 0.6667 0.6214
Pb1 Pb 0.6667 0.3333 0.4043
```

Summary:
E_tot = -3.9480 eV/atom
theoretical density = 8.94 g cm⁻³
energy relative to the elements = -0.430 eV/atom

(4)
The following is a GGA-PBE calculation of a relaxed structure of Ac6In5Pb, from Alexandria.

Cell and atoms, written as CIF:
```
data_Ac6In5Pb
_chemical_formula_sum 'Ac12 In10 Pb2'
_cell_length_a 5.793
_cell_length_b 17.441
_cell_length_c 8.286
_cell_angle_alpha 90.00
_cell_angle_beta 90.00
_cell_angle_gamma 90.00
_space_group_name_H-M_alt 'C m m m'
_space_group_IT_number 65
_space_group_name_Hall '-C 2 2'
loop_
_atom_site_label
_atom_site_type_symbol
_atom_site_fract_x
_atom_site_fract_y
_atom_site_fract_z
Ac1 Ac 0.000 0.000 0.250
Ac2 Ac 0.000 0.333 0.248
In1 In 0.000 0.166 0.000
In2 In 0.000 0.170 0.500
In3 In 0.000 0.500 0.000
Pb1 Pb 0.000 0.500 0.500
```

Summary:
E_tot = -3.9351 eV/atom
theoretical density = 8.50 g cm⁻³
energy relative to the elements = -0.431 eV/atom

What did we get for magnetization? Answer: 0.43; 0.00; 0.00; 0.00 μB/f.u., in the order shown.